# CsCeUS4

A relaxed CsCeUS4 crystal (PBE-GGA, the Alexandria database).

Cell: 8.508 8.965 12.148 Å, 90.00 90.00 90.00°
Space group Imma (No. 74)
Inequivalent atoms, fractional coordinates:
Cs 0.000 0.250 0.135 (multiplicity 4)
Ce 0.000 0.000 0.500 (multiplicity 4)
U 0.250 0.250 0.750 (multiplicity 4)
S 0.000 0.058 0.732 (multiplicity 8)
S 0.206 0.250 0.528 (multiplicity 8)

**V**: 231.6 Å³/f.u.
**Energy relative to the elements, uncorrected**: -1.5368 eV/atom

# ZrBeBr

A relaxed ZrBeBr crystal (PBE-GGA, the Alexandria database).

Cell: 6.258 3.613 11.372 Å, 90.00 100.75 90.00°
Space group C2/m (No. 12)
Inequivalent atoms, fractional coordinates:
Zr 0.053 0.000 0.156 (multiplicity 4)
Be 0.164 0.500 0.992 (multiplicity 4)
Br 0.224 0.000 0.677 (multiplicity 4)

**V**: 63.2 Å³/f.u.
**Energy relative to the elements, uncorrected**: -0.8244 eV/atom

# RbNbCd

A relaxed RbNbCd crystal (PBE-GGA, the Alexandria database).

Cell: 3.355 5.532 12.505 Å, 94.64 93.59 107.42°
Space group P1 (No. 1)
Inequivalent atoms, fractional coordinates:
Rb 0.000 0.000 0.000 (multiplicity 1)
Rb 0.147 0.588 0.343 (multiplicity 1)
Nb 0.182 0.476 0.773 (multiplicity 1)
Nb 0.687 0.552 0.623 (multiplicity 1)
Cd 0.439 0.004 0.733 (multiplicity 1)
Cd 0.940 0.094 0.535 (multiplicity 1)

**V**: 109.9 Å³/f.u.
**ΔE_f**: 0.50 eV per atom